Entry from Alexandria: a relaxed K3NiSe2O6 crystal (PBE with a Hubbard U).

The structure in POSCAR format:
```
K3NiSe2O6
1.0
5.769 0.000 0.000
-2.884 4.996 0.000
0.000 0.000 7.018
K Ni Se O
3 1 2 6
Cartesian
0.000 0.000 0.000
0.000 3.331 4.608
2.884 1.665 2.411
0.000 0.000 3.509
0.000 3.331 1.387
2.884 1.665 5.632
0.000 1.747 2.141
-1.371 4.122 2.141
1.513 0.874 4.877
1.371 4.122 2.141
4.255 0.874 4.877
2.884 3.249 4.877
```

Calculated values
M_tot, μB per atom: 0.0913
Energy, eV for the cell shown: -55.78
DOS at the Fermi energy, states/eV per atom: 0.49